1.
8
Lattice="-2.9057 -1.8428 -5.5057 2.9144 -5.7878 0.3991 -5.0191 1.5256 5.9662" Properties=species:S:1:pos:R:3 comment="PmThBi2 GGA-PBE relaxed" crystal_system=tetragonal spacegroup="I4_1/amd, No. 141" de_polymorph_kj_per_mol_fu=0 formation_enthalpy_0k_ev_per_atom=-0.765 e_tot_ev_per_atom=-5.75 pbc="T T T"
Pm -3.9602 -2.0663 -1.0464
Pm 0.0000 0.0000 0.0000
Th 0.0043 -3.8153 -2.5533
Th -1.0502 -4.0388 1.9060
Bi -2.5052 -4.9612 -0.8454
Bi -1.4550 -0.9224 -2.7514
Bi -2.5052 -1.1439 1.7050
Bi -6.4654 -3.2101 0.6586

---

2.
4
Lattice="-3.4927 4.4546 -2.7970 -4.5302 2.8382 3.3598 6.1212 -1.3984 0.6643" Properties=species:S:1:pos:R:3 comment="Sr2HgPt GGA-PBE relaxed" crystal_system=tetragonal spacegroup="I-4m2, No. 119" formation_enthalpy_0k_ev_per_atom=-0.425 e_tot_ev_per_atom=-2.85 pbc="T T T"
Hg -4.0114 3.6464 0.2814
Pt -0.6915 3.3513 -0.9257
Sr 0.0000 0.0000 0.0000
Sr -1.2102 2.5431 2.1527

---

3.
5
Lattice="3.7022 0.0000 0.0000 0.0000 3.7022 0.0000 0.0000 0.0000 4.3116" Properties=species:S:1:pos:R:3 comment="Li2GaHPt GGA-PBE relaxed" crystal_system=tetragonal spacegroup="P4/mmm, No. 123" de_polymorph_kj_per_mol_fu=19 e_tot_ev_per_atom=-3.69 pbc="T T T"
H 0.0000 0.0000 0.0000
Ga 0.0000 0.0000 2.1558
Pt 1.8511 1.8511 2.1558
Li 0.0000 1.8511 0.0000
Li 1.8511 0.0000 0.0000

---

4.
4
Lattice="4.1668 0.0000 0.0000 2.0834 3.6085 0.0000 2.0834 1.2028 7.2440" Properties=species:S:1:pos:R:3 comment="Eu2NiAu GGA-PBE relaxed" crystal_system=trigonal spacegroup="R-3m, No. 166" de_polymorph_kj_per_mol_fu=42 formation_enthalpy_0k_ev_per_atom=-0.290 e_tot_ev_per_atom=-7.69 pbc="T T T"
Eu 6.2502 3.6085 5.6205
Eu 2.0834 1.2028 1.6235
Ni 0.0000 0.0000 0.0000
Au 4.1668 2.4057 3.6220

---

5.
19
Lattice="7.7064 -0.0710 -0.0633 0.9294 7.6505 -0.0633 0.9294 0.8157 7.6072" Properties=species:S:1:pos:R:3 comment="Pr2Cd15In2 GGA-PBE relaxed" crystal_system=trigonal spacegroup="R-3m, No. 166" formation_enthalpy_0k_ev_per_atom=-0.155 e_tot_ev_per_atom=-1.67 pbc="T T T"
Pr 3.1658 2.7785 2.4758
Pr 6.3994 5.6166 5.0047
Cd 3.8532 -0.0355 -0.0316
Cd 0.4647 0.4078 3.8036
Cd 0.4647 3.8253 -0.0316
Cd 0.9294 5.5252 2.3218
Cd 5.5991 2.3300 -0.0633
Cd 3.0367 0.5400 5.2220
Cd 3.0367 5.2495 -0.0633
Cd 5.5991 0.2047 2.3218
Cd 0.9294 2.9410 5.2220
Cd 2.5017 5.4486 4.8551
Cd 5.7272 5.0266 1.2044
Cd 5.7272 1.7737 4.8551
Cd 7.0634 2.9465 2.6255
Cd 3.8380 3.3686 6.2762
Cd 3.8380 6.6215 2.6255
In 0.9612 0.8436 0.7517
In 8.6040 7.5516 6.7289

---

6.
5
Lattice="4.8950 0.0000 0.0000 0.0000 4.8950 0.0000 0.0000 0.0000 4.8950" Properties=species:S:1:pos:R:3 comment="OsSe3Cl GGA-PBE relaxed" crystal_system=cubic spacegroup="Pm-3m, No. 221" de_polymorph_kj_per_mol_fu=289 e_form_raw_mev_per_atom=549 e_tot_ev_per_atom=-4.16 pbc="T T T"
Os 0.0000 0.0000 0.0000
Se 0.0000 2.4475 0.0000
Se 0.0000 0.0000 2.4475
Se 2.4475 0.0000 0.0000
Cl 2.4475 2.4475 2.4475

---

7.
11
Lattice="-3.5562 -4.4448 0.5890 6.1734 -2.0083 -5.6830 2.5271 -1.1925 6.2588" Properties=species:S:1:pos:R:3 comment="Pr5TmGa5 GGA-PBE relaxed" crystal_system=monoclinic spacegroup="C2/m, No. 12" formation_enthalpy_0k_ev_per_atom=-0.337 e_tot_ev_per_atom=-4.29 pbc="T T T"
Pr 0.5282 -4.1440 -0.2818
Pr 1.1572 -4.1737 3.2912
Pr 1.2636 -0.5963 3.1294
Pr 3.9872 -3.4719 -2.1264
Pr 4.6162 -3.5016 1.4467
Tm 0.0000 0.0000 0.0000
Ga 1.2212 -5.0691 -3.0790
Ga 2.7865 -5.8245 0.6721
Ga -1.7781 -2.2224 0.2945
Ga 2.3578 -1.8211 0.4928
Ga 3.9232 -2.5765 4.2438

---

8.
5
Lattice="-0.9163 2.6430 2.3000 -3.4627 -0.2647 -1.0754 -0.6144 -2.4617 2.5841" Properties=species:S:1:pos:R:3 comment="MnBe2CoB GGA-PBE relaxed" crystal_system=tetragonal spacegroup="P4/mmm, No. 123" formation_enthalpy_0k_ev_per_atom=0.373 e_tot_ev_per_atom=-5.71 pbc="T T T"
Be -0.3072 -1.2309 1.2921
Be -0.4582 1.3215 1.1500
B 0.0000 0.0000 0.0000
Mn -2.4967 -0.0417 1.9043
Co -1.7314 -0.1323 -0.5377

---

9.
20
Lattice="5.1653 0.0000 0.0000 0.0000 10.6976 0.0000 0.0000 0.0000 10.6976" Properties=species:S:1:pos:R:3 comment="La2Pm2DyMg5 GGA-PBE relaxed" crystal_system=tetragonal spacegroup="P4/mbm, No. 127" formation_enthalpy_0k_ev_per_atom=0.001 e_tot_ev_per_atom=-3.19 pbc="T T T"
La 0.0000 7.2119 1.8631
La 0.0000 3.4857 8.8345
La 0.0000 1.8631 3.4857
La 0.0000 8.8345 7.2119
Pm 0.0000 1.3227 6.6715
Pm 0.0000 9.3749 4.0261
Pm 0.0000 6.6715 9.3749
Pm 0.0000 4.0261 1.3227
Dy 0.0000 0.0000 0.0000
Dy 0.0000 5.3488 5.3488
Mg 2.5827 2.0770 0.7837
Mg 2.5827 8.6206 9.9139
Mg 2.5827 0.7837 8.6206
Mg 2.5827 7.4257 4.5651
Mg 2.5827 9.9139 2.0770
Mg 2.5827 3.2718 6.1324
Mg 2.5827 6.1324 7.4257
Mg 2.5827 4.5651 3.2718
Mg 2.5827 5.3488 0.0000
Mg 2.5827 0.0000 5.3488

---

10.
4
Lattice="3.9949 0.0000 0.0000 0.0000 3.9949 0.0000 0.0000 0.0000 10.4830" Properties=species:S:1:pos:R:3 comment="BaSr2Be GGA-PBE relaxed" crystal_system=tetragonal spacegroup="P4mm, No. 99" formation_enthalpy_0k_ev_per_atom=0.284 e_tot_ev_per_atom=-1.97 pbc="T T T"
Sr 0.0000 0.0000 9.6936
Sr 1.9975 1.9975 2.4923
Ba 0.0000 0.0000 6.0284
Be 1.9975 1.9975 7.9931

---

11.
4
Lattice="5.5727 0.0077 0.0438 4.6751 3.0329 0.0438 1.7941 0.5323 4.1078" Properties=species:S:1:pos:R:3 comment="Sc2ZnFe GGA-PBE relaxed" crystal_system=orthorhombic spacegroup="Imm2, No. 44" formation_enthalpy_0k_ev_per_atom=-0.082 e_tot_ev_per_atom=-5.68 pbc="T T T"
Fe 9.1197 2.7059 3.1070
Sc 2.1112 0.6264 3.9559
Sc 2.9435 0.8734 1.0808
Zn 5.6827 1.6861 2.2572

---

12.
16
Lattice="9.3326 -0.9171 -0.0026 -0.9237 9.3319 -0.0026 -4.3109 -4.3139 5.8880" Properties=species:S:1:pos:R:3 comment="Hg4AsI2Cl GGA-PBE relaxed" crystal_system=monoclinic spacegroup="C2/c, No. 15" e_form_raw_mev_per_atom=-119 e_tot_ev_per_atom=-1.47 pbc="T T T"
Hg -3.3528 2.9861 5.7747
Hg 4.0822 0.1702 3.0522
Hg 0.0158 3.9306 2.8306
Hg 7.4509 1.1147 0.1082
Hg 2.0625 2.1513 5.7445
Hg 3.9971 4.0873 3.0798
Hg 0.1009 0.0137 2.8030
Hg 2.0354 1.9495 0.1384
As 2.0490 2.0504 2.9414
As 5.0216 -5.2310 5.8854
I 4.6663 -0.4585 -0.0013
I 2.5108 -2.6155 2.9427
I -2.1554 -2.1569 2.9440
I 4.2044 4.2074 -0.0026
Cl -0.4618 4.6659 -0.0013
Cl 6.7153 1.5919 2.9401

---

13.
10
Lattice="-1.1712 -3.9980 0.1679 3.7981 -1.1657 -1.2647 3.1480 -0.5057 9.9199" Properties=species:S:1:pos:R:3 comment="Tb2ZnGe3Ir4 GGA-PBE relaxed" crystal_system=tetragonal spacegroup="P-4m2, No. 115" formation_enthalpy_0k_ev_per_atom=-0.718 e_tot_ev_per_atom=-6.70 pbc="T T T"
Tb 0.1976 -2.1248 2.5519
Tb 4.2638 -0.9627 6.8196
Zn 2.8874 -2.8347 4.4115
Ge 1.5740 -0.2528 4.9600
Ge 2.1499 -2.4384 8.7041
Ge 2.3115 -0.6491 0.6674
Ir 1.3134 -2.5819 -0.5484
Ir 0.0000 0.0000 0.0000
Ir 1.4193 -2.3210 6.4018
Ir 3.0421 -0.7665 2.9697

---

14.
5
Lattice="4.3238 0.0000 0.0000 0.0000 4.3238 0.0000 0.0000 0.0000 4.3238" Properties=species:S:1:pos:R:3 comment="Re3PIr GGA-PBE relaxed" crystal_system=cubic spacegroup="Pm-3m, No. 221" de_polymorph_kj_per_mol_fu=0 formation_enthalpy_0k_ev_per_atom=0.993 e_tot_ev_per_atom=-9.33 pbc="T T T"
Re 0.0000 2.1619 0.0000
Re 0.0000 0.0000 2.1619
Re 2.1619 0.0000 0.0000
Ir 2.1619 2.1619 2.1619
P 0.0000 0.0000 0.0000

---

15.
5
Lattice="4.1312 0.0000 0.0000 0.0000 4.1312 0.0000 0.0000 0.0000 6.2727" Properties=species:S:1:pos:R:3 comment="ScHgIO2 GGA-PBE relaxed" crystal_system=tetragonal spacegroup="P4/mmm, No. 123" de_polymorph_kj_per_mol_fu=0 e_form_raw_mev_per_atom=-1216 e_tot_ev_per_atom=-4.84 pbc="T T T"
I 0.0000 0.0000 3.1364
Sc 0.0000 0.0000 0.0000
Hg 2.0656 2.0656 3.1364
O 0.0000 2.0656 0.0000
O 2.0656 0.0000 0.0000

---

16.
4
Lattice="9.2047 -0.0010 -0.0006 8.7982 2.7051 -0.0006 8.7982 1.3216 2.3603" Properties=species:S:1:pos:R:3 comment="LiZn2Re GGA-PBE relaxed" crystal_system=trigonal spacegroup="R-3m, No. 166" de_polymorph_kj_per_mol_fu=24 formation_enthalpy_0k_ev_per_atom=0.052 e_tot_ev_per_atom=-4.18 pbc="T T T"
Li 6.7003 1.0064 0.5898
Re 20.1009 3.0193 1.7694
Zn 0.0017 0.0002 0.0001
Zn 13.3989 2.0126 1.1795

---

17.
20
Lattice="-4.1284 -1.5664 -5.5679 2.6494 -3.6993 -5.4585 -3.9944 -12.5925 1.9696" Properties=species:S:1:pos:R:3 comment="Sr2In6CuAg GGA-PBE relaxed" crystal_system=trigonal spacegroup="R-3m, No. 166" formation_enthalpy_0k_ev_per_atom=-0.198 e_tot_ev_per_atom=-2.87 pbc="T T T"
Sr -2.5962 -8.7236 -9.2253
Sr -2.8772 -9.1346 0.1684
Sr -4.4113 -14.3415 -6.2989
Sr -1.0621 -3.5167 -2.7579
In -4.4927 -7.7909 -6.1521
In -0.5986 -9.0163 -6.0892
In -2.1208 -6.8910 -2.9531
In -0.9807 -10.0673 -2.9048
In -4.8748 -8.8419 -2.9676
In -3.3526 -10.9673 -6.1038
In -5.7404 -13.2217 -3.0772
In -2.7758 -14.1546 -3.0293
In -3.9346 -12.5365 -0.6417
In 0.2670 -4.6365 -5.9797
In -2.6976 -3.7036 -6.0275
In -1.5388 -5.3217 -8.4151
Cu 0.0000 0.0000 0.0000
Cu -2.7367 -8.9291 -4.5284
Ag -1.9524 -6.5014 -5.7930
Ag -3.5211 -11.3568 -3.2639

---

18.
4
Lattice="-4.2853 1.3175 3.2638 -5.1217 0.2435 -2.1120 -3.7438 -3.8604 1.3538" Properties=species:S:1:pos:R:3 comment="GdTh2Mg GGA-PBE relaxed" crystal_system=cubic spacegroup="Fm-3m, No. 225" de_polymorph_kj_per_mol_fu=29 formation_enthalpy_0k_ev_per_atom=0.140 e_tot_ev_per_atom=-7.49 pbc="T T T"
Mg -6.5754 -1.1497 1.2528
Gd 0.0000 0.0000 0.0000
Th -3.2877 -0.5749 0.6264
Th -9.8631 -1.7246 1.8792

---

19.
4
Lattice="-9.2568 1.5881 -0.3226 -8.9371 1.3831 2.5555 -8.4562 3.9146 1.2183" Properties=species:S:1:pos:R:3 comment="MgRuAu2 GGA-PBE relaxed" crystal_system=trigonal spacegroup="R3m, No. 160" formation_enthalpy_0k_ev_per_atom=0.088 e_tot_ev_per_atom=-4.27 pbc="T T T"
Au -0.0830 0.0214 0.0108
Au -6.5737 1.6985 0.8513
Mg -13.2614 3.4264 1.7174
Ru -20.0569 5.1822 2.5974

---

20.
14
Lattice="7.0997 0.0000 0.1285 0.0000 7.1852 0.0000 -2.4629 0.0000 7.7215" Properties=species:S:1:pos:R:3 comment="GeSb2Se4 GGA-PBE relaxed" crystal_system=monoclinic spacegroup="P2_1/m, No. 11" de_polymorph_kj_per_mol_fu=112 e_form_raw_mev_per_atom=-88 e_tot_ev_per_atom=-3.92 pbc="T T T"
Ge 1.4591 5.3889 1.4831
Ge 3.1777 1.7963 6.3669
Sb 5.3785 5.3889 0.5535
Sb -0.7417 1.7963 7.2965
Sb 1.2118 1.7963 3.4164
Sb 3.4250 5.3889 4.4336
Se 2.9470 3.5040 2.0839
Se -1.8602 5.3889 6.8620
Se 6.4970 1.7963 0.9880
Se 2.9470 0.0886 2.0839
Se 5.1632 1.7963 4.9982
Se 1.6899 7.0966 5.7661
Se 1.6899 3.6811 5.7661
Se -0.5263 5.3889 2.8518